## K2NaCd12Au3 (PBE-GGA)

Data for a geometry-optimized K2NaCd12Au3 structure.

Calculated values
Total DFT energy (no corrections) (eV per atom): -1.30
D(E_F) (states/eV/cell): 5.97
Crystal system: trigonal

a = 8.613 Å, b = 8.613 Å, c = 8.613 Å
α = 72.37°, β = 72.37°, γ = 72.37°
Atoms (fractional coordinates):
Au 0.000 0.500 0.000
Au 0.500 0.000 0.000
Au 0.000 0.000 0.500
Cd 0.638 0.149 0.149
Cd 0.153 0.705 0.705
Cd 0.295 0.295 0.847
Cd 0.362 0.851 0.851
Cd 0.847 0.295 0.295
Cd 0.851 0.851 0.362
Cd 0.705 0.153 0.705
Cd 0.295 0.847 0.295
Cd 0.705 0.705 0.153
Cd 0.149 0.149 0.638
Cd 0.851 0.362 0.851
Cd 0.149 0.638 0.149
K 0.599 0.599 0.599
K 0.401 0.401 0.401
Na 0.000 0.000 0.000

***

## KNaCd2Au (PBE-GGA)

Data for a geometry-optimized KNaCd2Au structure.

Calculated values
Total DFT energy (no corrections) (eV per atom): -1.69
D(E_F) (states/eV/cell): 2.73
Crystal system: orthorhombic

a = 4.742 Å, b = 4.648 Å, c = 7.407 Å
α = 108.29°, β = 108.67°, γ = 90.00°
Atoms (fractional coordinates):
K 0.431 0.431 0.862
Cd 0.699 0.199 0.398
Cd 0.045 0.045 0.090
Au 0.835 0.835 0.669
Na 0.202 0.702 0.405

***

## K2Na5CdAu2 (PBE-GGA)

Data for a geometry-optimized K2Na5CdAu2 structure.

Calculated values
Total DFT energy (no corrections) (eV per atom): -1.76
D(E_F) (states/eV/cell): 11.25
Crystal system: tetragonal

a = 4.587 Å, b = 11.832 Å, c = 11.832 Å
α = 90.00°, β = 90.00°, γ = 90.00°
Atoms (fractional coordinates):
Na 0.500 0.568 0.708
Na 0.500 0.068 0.792
Na 0.500 0.432 0.292
Na 0.500 0.932 0.208
Na 0.500 0.708 0.432
Na 0.500 0.208 0.068
Na 0.500 0.792 0.932
Na 0.500 0.500 0.000
Na 0.500 0.000 0.500
Na 0.500 0.292 0.568
K 0.000 0.326 0.826
K 0.000 0.174 0.326
K 0.000 0.826 0.674
K 0.000 0.674 0.174
Cd 0.000 0.500 0.500
Cd 0.000 0.000 0.000
Au 0.000 0.379 0.121
Au 0.000 0.621 0.879
Au 0.000 0.879 0.379
Au 0.000 0.121 0.621

***

## K4Na2CdAu2 (PBE-GGA)

Data for a geometry-optimized K4Na2CdAu2 structure.

Calculated values
Total DFT energy (no corrections) (eV per atom): -1.78
D(E_F) (states/eV/cell): 3.63
Crystal system: triclinic

a = 6.576 Å, b = 7.916 Å, c = 8.292 Å
α = 119.97°, β = 106.49°, γ = 76.67°
Atoms (fractional coordinates):
K 0.561 0.753 0.026
K 0.255 0.338 0.480
K 0.745 0.662 0.520
K 0.439 0.247 0.974
Cd 0.000 0.000 0.000
Na 0.131 0.801 0.320
Na 0.869 0.199 0.680
Au 0.953 0.409 0.103
Au 0.047 0.591 0.897

***

## KNa5CdAu2 (PBE-GGA)

Data for a geometry-optimized KNa5CdAu2 structure.

Calculated values
Total DFT energy (no corrections) (eV per atom): -1.79
D(E_F) (states/eV/cell): 3.01
Crystal system: tetragonal

a = 5.542 Å, b = 5.542 Å, c = 11.127 Å
α = 90.00°, β = 90.00°, γ = 90.00°
Atoms (fractional coordinates):
Cd 0.000 0.000 0.000
Au 0.000 0.000 0.250
Au 0.000 0.000 0.750
Na 0.000 0.500 0.828
Na 0.000 0.500 0.172
Na 0.500 0.000 0.828
Na 0.500 0.000 0.172
Na 0.000 0.000 0.500
K 0.500 0.500 0.500

***

## KNaCdAu2 (PBE-GGA)

Data for a geometry-optimized KNaCdAu2 structure.

Calculated values
Total DFT energy (no corrections) (eV per atom): -2.28
D(E_F) (states/eV/cell): 1.18
Crystal system: tetragonal

a = 4.667 Å, b = 4.667 Å, c = 7.072 Å
α = 109.27°, β = 109.27°, γ = 90.00°
Atoms (fractional coordinates):
Au 0.610 0.610 0.220
Au 0.390 0.390 0.780
K 0.000 0.000 0.000
Cd 0.250 0.750 0.500
Na 0.750 0.250 0.500

***

## K2NaCd4Au3 (PBE-GGA)

Data for a geometry-optimized K2NaCd4Au3 structure.

Calculated values
Total DFT energy (no corrections) (eV per atom): -1.91
D(E_F) (states/eV/cell): 4.32
Crystal system: tetragonal

a = 4.729 Å, b = 4.729 Å, c = 12.378 Å
α = 90.00°, β = 90.00°, γ = 90.00°
Atoms (fractional coordinates):
Au 0.000 0.000 0.500
Au 0.500 0.000 0.869
Au 0.000 0.500 0.131
Cd 0.000 0.500 0.355
Cd 0.000 0.000 0.000
Cd 0.500 0.500 0.000
Cd 0.500 0.000 0.645
K 0.500 0.000 0.234
K 0.000 0.500 0.766
Na 0.500 0.500 0.500

***

## K2NaCd6Au (PBE-GGA)

Data for a geometry-optimized K2NaCd6Au structure.

Calculated values
Total DFT energy (no corrections) (eV per atom): -1.18
D(E_F) (states/eV/cell): 5.32
Crystal system: cubic

a = 7.986 Å, b = 7.986 Å, c = 7.986 Å
α = 60.00°, β = 60.00°, γ = 90.00°
Atoms (fractional coordinates):
Cd 0.243 0.757 0.000
Cd 0.757 0.757 0.000
Cd 0.243 0.243 0.514
Cd 0.243 0.243 0.000
Cd 0.757 0.243 0.000
Cd 0.757 0.757 0.486
Na 0.500 0.500 0.000
Au 0.000 0.000 0.000
K 0.750 0.250 0.500
K 0.250 0.750 0.500

***

## KNaCd2Au (PBE-GGA)

Data for a geometry-optimized KNaCd2Au structure.

Calculated values
Total DFT energy (no corrections) (eV per atom): -1.66
D(E_F) (states/eV/cell): 2.21
Crystal system: tetragonal

a = 5.395 Å, b = 5.395 Å, c = 5.645 Å
α = 90.00°, β = 90.00°, γ = 90.00°
Atoms (fractional coordinates):
K 0.500 0.500 0.500
Na 0.000 0.000 0.500
Au 0.000 0.000 0.000
Cd 0.000 0.500 0.000
Cd 0.500 0.000 0.000

***

## KNa2Cd2Au2 (PBE-GGA)

Data for a geometry-optimized KNa2Cd2Au2 structure.

Calculated values
Total DFT energy (no corrections) (eV per atom): -1.94
D(E_F) (states/eV/cell): 2.89
Crystal system: trigonal

a = 4.892 Å, b = 4.892 Å, c = 9.988 Å
α = 75.82°, β = 75.82°, γ = 60.00°
Atoms (fractional coordinates):
Au 0.419 0.419 0.742
Au 0.581 0.581 0.258
Cd 0.748 0.748 0.756
Cd 0.252 0.252 0.244
Na 0.867 0.867 0.400
Na 0.133 0.133 0.600
K 0.000 0.000 0.000

***

## KNaCd2Au (PBE-GGA)

Data for a geometry-optimized KNaCd2Au structure.

Calculated values
Total DFT energy (no corrections) (eV per atom): -1.56
D(E_F) (states/eV/cell): 1.65
Crystal system: tetragonal

a = 5.407 Å, b = 5.407 Å, c = 6.089 Å
α = 90.00°, β = 90.00°, γ = 90.00°
Atoms (fractional coordinates):
Cd 0.500 0.000 0.000
Cd 0.000 0.500 0.000
Na 0.500 0.500 0.500
Au 0.000 0.000 0.000
K 0.000 0.000 0.500

***

## KCdAuO2 (PBE-GGA)

Data for a geometry-optimized KCdAuO2 structure.

Calculated values
D(E_F) (states/eV/cell): 0.00
Crystal system: monoclinic
Formation energy from raw total energies (meV/atom): -852.1

a = 5.106 Å, b = 6.227 Å, c = 6.571 Å
α = 99.54°, β = 90.00°, γ = 90.00°
Atoms (fractional coordinates):
K 0.263 0.500 0.750
K 0.737 0.500 0.250
O 0.684 0.211 0.523
O 0.684 0.789 0.977
O 0.316 0.211 0.023
O 0.316 0.789 0.477
Au 0.000 0.000 0.500
Au 0.000 0.000 0.000
Cd 0.521 0.000 0.750
Cd 0.479 0.000 0.250

***

- Among the records above, which one has the lowest D(E_F)?
  KCdAuO2

***

- Which value of D(E_F) does entry 2 give?
  2.73 states/eV/cell

***

- Look up the D(E_F) of the second one.
  2.73 states/eV/cell